Entry 1:
Ca2PdPtO6 | GGA-PBE | relaxed

## Properties
Size of the total moment   0.00 μB per cell
Total DFT energy (no corrections)   -5.76 eV per atom
Formation energy without anion corrections   -1.27 eV per atom
Crystal system   tetragonal

abc: 4.330 5.538 5.538
angles: 90.00 90.00 90.00
Element x y z (fractional)
Pd (0.615, 0.000, 0.000)
Pt (0.611, 0.500, 0.500)
O (0.157, 0.500, 0.500)
O (0.710, 0.252, 0.748)
O (0.710, 0.748, 0.252)
O (0.710, 0.748, 0.748)
O (0.710, 0.252, 0.252)
Ca (0.036, 0.000, 0.500)
Ca (0.036, 0.500, 0.000)
O (0.152, 0.000, 0.000)


Entry 2:
PPt2 | GGA-PBE | relaxed

## Properties
Size of the total moment   0.00 μB per cell
Total DFT energy (no corrections)   -6.03 eV per atom
Crystal system   orthorhombic

abc: 8.361 8.361 3.457
angles: 90.00 90.00 156.70
Element x y z (fractional)
Pt (0.204, 0.796, 0.750)
P (0.394, 0.606, 0.250)
P (0.606, 0.394, 0.750)
Pt (0.067, 0.933, 0.250)
Pt (0.796, 0.204, 0.250)
Pt (0.933, 0.067, 0.750)